Record 1
# CaTb2Nd6Ho

Crystalline CaTb2Nd6Ho at its relaxed geometry (PBE, Alexandria).

Lattice parameters (Å, degrees): 9.0313 9.0313 9.9187 94.51 94.51 118.66
Sites, in units of the cell vectors:
Ca 0.0983 0.9017 0.7500
Ca 0.9017 0.0983 0.2500
Tb 0.2025 0.3013 0.9572
Tb 0.3013 0.2025 0.4572
Tb 0.6987 0.7975 0.5428
Tb 0.7975 0.6987 0.0428
Nd 0.0014 0.2131 0.6237
Nd 0.0710 0.5279 0.1773
Nd 0.2131 0.0014 0.1237
Nd 0.2648 0.6157 0.5522
Nd 0.3843 0.7352 0.9478
Nd 0.4721 0.9290 0.3227
Nd 0.5279 0.0710 0.6773
Nd 0.6157 0.2648 0.0522
Nd 0.7352 0.3843 0.4478
Nd 0.7869 0.9986 0.8763
Nd 0.9290 0.4721 0.8227
Nd 0.9986 0.7869 0.3763
Ho 0.4745 0.5255 0.2500
Ho 0.5255 0.4745 0.7500

The formation enthalpy at 0 K comes out at 131.7 meV/atom. The calculated density comes out at 6.6 g/cm³. The total moment is 0.000 μB per atom.


Record 2
# NaRh3W

Crystalline NaRh3W at its relaxed geometry (PBE, Alexandria).

Lattice parameters (Å, degrees): 4.7514 4.7514 4.7514 90.00 90.00 90.00
Sites, in units of the cell vectors:
Na 0.0000 0.0000 0.0000
Rh 0.0000 0.5000 0.5000
Rh 0.5000 0.0000 0.5000
Rh 0.5000 0.5000 0.0000
W 0.5000 0.5000 0.5000

The formation enthalpy at 0 K comes out at 775.9 meV/atom. The calculated density comes out at 8.0 g/cm³. The polymorph energy (0 for the lowest one) comes out at 0 meV/atom. The total moment is 0.000 μB per atom.


Record 3
# Ba6Tl2Pd

Crystalline Ba6Tl2Pd at its relaxed geometry (PBE, Alexandria).

Lattice parameters (Å, degrees): 8.1669 8.9949 14.3999 90.00 124.50 90.00
Sites, in units of the cell vectors:
Ba 0.1123 0.1905 0.4380
Ba 0.1123 0.3095 0.9380
Ba 0.2587 0.6779 0.4397
Ba 0.2587 0.8221 0.9397
Ba 0.3712 0.0278 0.2509
Ba 0.3712 0.4722 0.7509
Ba 0.6288 0.5278 0.2491
Ba 0.6288 0.9722 0.7491
Ba 0.7413 0.1779 0.0603
Ba 0.7413 0.3221 0.5603
Ba 0.8877 0.6905 0.0620
Ba 0.8877 0.8095 0.5620
Tl 0.2114 0.1029 0.7484
Tl 0.2114 0.3971 0.2484
Tl 0.7886 0.6029 0.7516
Tl 0.7886 0.8971 0.2516
Pd 0.0000 0.0000 0.0000
Pd 0.0000 0.5000 0.5000

The formation enthalpy at 0 K comes out at -312.0 meV/atom. The calculated density comes out at 5.1 g/cm³. The total moment is 0.153 μB per atom.


Record 4
# Li2Si12Pt7

Crystalline Li2Si12Pt7 at its relaxed geometry (PBE, Alexandria).

Lattice parameters (Å, degrees): 10.1439 10.1439 3.7659 90.00 90.00 120.00
Sites, in units of the cell vectors:
Li 0.3333 0.6667 0.2590
Li 0.6667 0.3333 0.7410
Si 0.0711 0.6208 0.7413
Si 0.1139 0.8466 0.2768
Si 0.1534 0.2673 0.2768
Si 0.2673 0.1139 0.7232
Si 0.3792 0.4503 0.7413
Si 0.4503 0.0711 0.2587
Si 0.5497 0.9289 0.7413
Si 0.6208 0.5497 0.2587
Si 0.7327 0.8861 0.2768
Si 0.8466 0.7327 0.7232
Si 0.8861 0.1534 0.7232
Si 0.9289 0.3792 0.2587
Pt 0.0000 0.0000 0.5000
Pt 0.1139 0.4051 0.7860
Pt 0.2913 0.8861 0.7860
Pt 0.4051 0.2913 0.2140
Pt 0.5949 0.7087 0.7860
Pt 0.7087 0.1139 0.2140
Pt 0.8861 0.5949 0.2140

The calculated density comes out at 8.5 g/cm³. The formation energy without anion corrections is -9.03 eV per formula unit. The total moment is 0.000 μB per atom.


Record 5
# CaPr2Sc

Crystalline CaPr2Sc at its relaxed geometry (PBE, Alexandria).

Lattice parameters (Å, degrees): 5.2464 5.2464 4.8676 90.00 90.00 90.00
Sites, in units of the cell vectors:
Ca 0.0000 0.0000 0.0000
Pr 0.0000 0.5000 0.5000
Pr 0.5000 0.0000 0.5000
Sc 0.5000 0.5000 0.0000

The formation enthalpy at 0 K comes out at 128.8 meV/atom. The calculated density comes out at 4.5 g/cm³. The polymorph energy (0 for the lowest one) comes out at 69 meV/atom. The total moment is 0.000 μB per atom.


Record 6
# EuBe3Ir

Crystalline EuBe3Ir at its relaxed geometry (PBE, Alexandria).

Lattice parameters (Å, degrees): 4.3488 4.3488 4.3488 90.00 90.00 90.00
Sites, in units of the cell vectors:
Eu 0.0000 0.0000 0.0000
Be 0.0000 0.5000 0.5000
Be 0.5000 0.0000 0.5000
Be 0.5000 0.5000 0.0000
Ir 0.5000 0.5000 0.5000

The formation enthalpy at 0 K comes out at -249.7 meV/atom. The calculated density comes out at 7.5 g/cm³. The total moment is 1.364 μB per atom.


Record 7
# KLiTa4N8

Crystalline KLiTa4N8 at its relaxed geometry (PBE, Alexandria).

Lattice parameters (Å, degrees): 6.3762 6.3762 6.3762 60.44 60.44 60.44
Sites, in units of the cell vectors:
K 0.0000 0.0000 0.0000
Li 0.5972 0.5972 0.5972
Ta 0.0920 0.6165 0.6165
Ta 0.2279 0.2279 0.2279
Ta 0.6165 0.0920 0.6165
Ta 0.6165 0.6165 0.0920
N 0.3342 0.3342 0.8524
N 0.3342 0.8524 0.3342
N 0.3604 0.3604 0.3604
N 0.4473 0.8243 0.8243
N 0.8243 0.4473 0.8243
N 0.8243 0.8243 0.4473
N 0.8446 0.8446 0.8446
N 0.8524 0.3342 0.3342

The calculated density comes out at 7.9 g/cm³. The formation energy without anion corrections is -7.39 eV per formula unit. The total moment is 0.141 μB per atom.


Record 8
# NaLi2UTe4

Crystalline NaLi2UTe4 at its relaxed geometry (PBE, Alexandria).

Lattice parameters (Å, degrees): 7.3221 4.3839 7.5843 90.00 108.99 90.00
Sites, in units of the cell vectors:
Na 0.0000 0.0000 0.0000
Li 0.5000 0.0000 0.5000
Li 0.5000 0.5000 0.0000
U 0.0000 0.5000 0.5000
Te 0.2532 0.0000 0.7383
Te 0.2552 0.5000 0.2731
Te 0.7448 0.5000 0.7269
Te 0.7468 0.0000 0.2617

The calculated density comes out at 5.7 g/cm³. The formation energy without anion corrections is -6.17 eV per formula unit. The total moment is 0.121 μB per atom.


Record 9
# ReB2W

Crystalline ReB2W at its relaxed geometry (PBE, Alexandria).

Lattice parameters (Å, degrees): 5.9259 5.9259 5.9259 132.52 132.52 69.41
Sites, in units of the cell vectors:
Re 0.0000 0.0000 0.0000
Re 0.7500 0.2500 0.5000
B 0.1128 0.6250 0.9878
B 0.3750 0.3628 0.4878
B 0.6372 0.1250 0.0122
B 0.8750 0.8872 0.5122
W 0.2500 0.7500 0.5000
W 0.5000 0.5000 0.0000

The formation enthalpy at 0 K comes out at 877.1 meV/atom. The calculated density comes out at 11.7 g/cm³. The polymorph energy (0 for the lowest one) comes out at 957 meV/atom. The total moment is 0.000 μB per atom.


Record 10
# Ac3Mg2NbO9

Crystalline Ac3Mg2NbO9 at its relaxed geometry (PBE, Alexandria).

Lattice parameters (Å, degrees): 5.7319 5.7319 7.0648 90.00 90.00 120.00
Sites, in units of the cell vectors:
Ac 0.0000 0.0000 0.0000
Ac 0.3333 0.6667 0.7116
Ac 0.6667 0.3333 0.2884
Mg 0.3333 0.6667 0.1695
Mg 0.6667 0.3333 0.8305
Nb 0.0000 0.0000 0.5000
O 0.0000 0.5000 0.0000
O 0.1625 0.3250 0.3324
O 0.1625 0.8375 0.3324
O 0.3250 0.1625 0.6676
O 0.5000 0.0000 0.0000
O 0.5000 0.5000 0.0000
O 0.6750 0.8375 0.3324
O 0.8375 0.1625 0.6676
O 0.8375 0.6750 0.6676

The calculated density comes out at 8.0 g/cm³. The formation energy without anion corrections is -45.58 eV per formula unit. The total moment is 0.000 μB per atom.


Record 11
# Ac2NpReN6

Crystalline Ac2NpReN6 at its relaxed geometry (PBE, Alexandria).

Lattice parameters (Å, degrees): 10.4452 10.4452 10.4452 32.74 32.74 32.74
Sites, in units of the cell vectors:
Ac 0.1349 0.1349 0.1349
Ac 0.2854 0.2854 0.2854
Ac 0.7146 0.7146 0.7146
Ac 0.8651 0.8651 0.8651
Np 0.4101 0.4101 0.4101
Np 0.5899 0.5899 0.5899
Re 0.0000 0.0000 0.0000
Re 0.5000 0.5000 0.5000
N 0.1338 0.6213 0.6213
N 0.2006 0.2006 0.7133
N 0.2006 0.7133 0.2006
N 0.2867 0.7994 0.7994
N 0.3787 0.3787 0.8662
N 0.3787 0.8662 0.3787
N 0.6213 0.1338 0.6213
N 0.6213 0.6213 0.1338
N 0.7133 0.2006 0.2006
N 0.7994 0.2867 0.7994
N 0.7994 0.7994 0.2867
N 0.8662 0.3787 0.3787

The calculated density comes out at 10.8 g/cm³. The formation energy without anion corrections is -7.94 eV per formula unit. The total moment is 0.050 μB per atom.


Record 12
# Ba2SbIrW

Crystalline Ba2SbIrW at its relaxed geometry (PBE, Alexandria).

Lattice parameters (Å, degrees): 6.1140 6.1140 4.8246 90.00 90.00 90.00
Sites, in units of the cell vectors:
Ba 0.0000 0.5000 0.0000
Ba 0.5000 0.0000 0.0000
Sb 0.0000 0.0000 0.5000
Ir 0.5000 0.5000 0.0000
W 0.5000 0.5000 0.5000

The calculated density comes out at 7.1 g/cm³. The formation energy without anion corrections is 2.13 eV per formula unit. The total moment is 0.452 μB per atom.